# Rb12Hg3Br5

A relaxed Rb12Hg3Br5 crystal (PBE, Alexandria via LeMat-Bulk).

**DFT total energy**: -149.0 eV/cell
**Uncorrected formation energy**: -0.818 eV per atom
**Space group**: Ia-3d

Geometry as POSCAR:
```
Rb12Hg3Br5
1.0
-0.310 8.257 16.440
10.322 -15.202 0.966
7.132 11.473 -12.492
Hg Br Rb
12 20 48
Direct
0.750 0.375 0.125
0.875 0.750 0.125
0.375 0.750 0.625
0.250 0.125 0.375
0.875 0.125 0.250
0.375 0.625 0.250
0.625 0.375 0.750
0.125 0.875 0.750
0.750 0.875 0.625
0.625 0.250 0.375
0.125 0.250 0.875
0.250 0.625 0.875
0.125 0.375 0.250
0.000 0.500 0.000
0.000 0.000 0.000
0.375 0.250 0.125
0.500 0.000 0.500
0.500 0.500 0.000
0.125 0.750 0.375
0.750 0.125 0.875
0.750 0.625 0.375
0.375 0.125 0.750
0.625 0.875 0.250
0.500 0.500 0.500
0.500 0.000 0.000
0.000 0.000 0.500
0.250 0.375 0.625
0.250 0.875 0.125
0.000 0.500 0.500
0.875 0.250 0.625
0.625 0.750 0.875
0.875 0.625 0.750
0.714 0.128 0.041
0.327 0.541 0.413
0.959 0.372 0.286
0.541 0.214 0.128
0.586 0.714 0.673
0.959 0.587 0.173
0.327 0.786 0.414
0.087 0.914 0.128
0.587 0.959 0.673
0.714 0.586 0.173
0.786 0.459 0.372
0.827 0.913 0.041
0.128 0.714 0.541
0.372 0.413 0.086
0.086 0.913 0.372
0.414 0.128 0.587
0.086 0.173 0.214
0.459 0.673 0.087
0.827 0.914 0.286
0.128 0.414 0.087
0.372 0.959 0.786
0.587 0.628 0.414
0.913 0.827 0.541
0.786 0.327 0.914
0.413 0.372 0.586
0.087 0.173 0.459
0.214 0.673 0.086
0.173 0.086 0.714
0.628 0.041 0.214
0.872 0.586 0.913
0.541 0.327 0.913
0.586 0.872 0.413
0.914 0.827 0.786
0.914 0.087 0.628
0.872 0.286 0.459
0.173 0.087 0.959
0.628 0.587 0.914
0.413 0.041 0.327
0.286 0.414 0.827
0.214 0.541 0.628
0.913 0.086 0.872
0.673 0.214 0.586
0.459 0.786 0.872
0.041 0.413 0.827
0.414 0.286 0.327
0.041 0.628 0.714
0.673 0.459 0.587
0.286 0.872 0.959
```